Here is a relaxed DyEr6Sc2 crystal from the Alexandria database. Energies are from PBE.

Cell: 9.569 9.569 3.546 Å, 90.00 90.00 124.37°
Fractional coordinates of all 9 atoms:
Dy 0.000 0.000 0.000
Er 0.151 0.478 0.000
Er 0.320 0.320 0.500
Er 0.478 0.151 0.000
Er 0.522 0.849 0.000
Er 0.680 0.680 0.500
Er 0.849 0.522 0.000
Sc 0.188 0.812 0.500
Sc 0.812 0.188 0.500

Output
As for the electronic total energy: -4.81 eV/atom. The value obtained for the magnetization is 0.00 μB per formula unit. As for the space group: Cmmm, No. 65. As for the energy above the most stable polymorph in this dataset: 19 meV/atom.

Here is a relaxed TlTcAs crystal from the Alexandria database. Energies are from PBE.

Cell: 6.321 6.321 6.321 Å, 90.00 90.00 90.00°
Fractional coordinates of all 12 atoms:
Tl 0.000 0.000 0.000
Tl 0.000 0.500 0.500
Tl 0.500 0.000 0.500
Tl 0.500 0.500 0.000
Tc 0.250 0.250 0.750
Tc 0.250 0.750 0.250
Tc 0.750 0.250 0.250
Tc 0.750 0.750 0.750
As 0.000 0.000 0.500
As 0.000 0.500 0.000
As 0.500 0.000 0.000
As 0.500 0.500 0.500

Output
As for the electronic total energy: -5.21 eV/atom. The value obtained for the magnetization is 0.00 μB per formula unit. As for the space group: F-43m, No. 216. As for the energy above the most stable polymorph in this dataset: 589 meV/atom.

Here is a relaxed La8Ni2Ge crystal from the Alexandria database. Energies are from PBE.

Cell: 7.938 7.938 6.479 Å, 101.03 101.03 117.40°
Fractional coordinates of all 11 atoms:
La 0.000 0.000 0.000
La 0.133 0.540 0.171
La 0.255 0.982 0.562
La 0.454 0.722 0.805
La 0.540 0.133 0.171
La 0.720 0.720 0.380
La 0.722 0.454 0.805
La 0.982 0.255 0.562
Ni 0.058 0.665 0.703
Ni 0.665 0.058 0.703
Ge 0.360 0.360 0.407

Output
As for the electronic total energy: -5.25 eV/atom. The value obtained for the magnetization is 0.00 μB per formula unit. As for the space group: Cm, No. 8.

Q: Which energy of formation values were calculated for the entries above? A: 133 168 -202, in kJ/mol of formula units.